(1)
This record from the Alexandria database describes a geometry-optimized Li6Ca2Zn structure. The functional is PBE-GGA.

Lattice parameters (Å, degrees): 6.142 6.142 6.428 90.00 90.00 120.00
Atoms (fractional coordinates):
Li: 0.169 0.338 0.331
Li: 0.169 0.831 0.331
Li: 0.338 0.169 0.669
Li: 0.662 0.831 0.331
Li: 0.831 0.169 0.669
Li: 0.831 0.662 0.669
Ca: 0.333 0.667 0.873
Ca: 0.667 0.333 0.127
Zn: 0.000 0.000 0.000

=====

(2)
This record from the Alexandria database describes a geometry-optimized Li4CaZn12 structure. The functional is PBE-GGA.

Lattice parameters (Å, degrees): 7.546 7.546 7.546 109.47 109.47 109.47
Atoms (fractional coordinates):
Li: 0.000 0.000 0.500
Li: 0.000 0.500 0.000
Li: 0.500 0.000 0.000
Li: 0.500 0.500 0.500
Ca: 0.000 0.000 0.000
Zn: 0.149 0.505 0.355
Zn: 0.149 0.794 0.645
Zn: 0.206 0.355 0.851
Zn: 0.355 0.149 0.505
Zn: 0.355 0.851 0.206
Zn: 0.495 0.645 0.851
Zn: 0.505 0.355 0.149
Zn: 0.645 0.149 0.794
Zn: 0.645 0.851 0.495
Zn: 0.794 0.645 0.149
Zn: 0.851 0.206 0.355
Zn: 0.851 0.495 0.645

=====

(3)
This record from the Alexandria database describes a geometry-optimized LiCaZn10 structure. The functional is PBE-GGA.

Lattice parameters (Å, degrees): 4.307 5.252 9.093 90.00 90.00 90.00
Atoms (fractional coordinates):
Li: 0.000 0.000 0.000
Ca: 0.000 0.500 0.500
Zn: 0.000 0.000 0.314
Zn: 0.000 0.000 0.686
Zn: 0.000 0.500 0.155
Zn: 0.000 0.500 0.845
Zn: 0.500 0.000 0.500
Zn: 0.500 0.253 0.251
Zn: 0.500 0.253 0.749
Zn: 0.500 0.500 0.000
Zn: 0.500 0.747 0.251
Zn: 0.500 0.747 0.749

=====

(4)
This record from the Alexandria database describes a geometry-optimized Li2Ca8Zn structure. The functional is PBE-GGA.

Lattice parameters (Å, degrees): 9.155 9.155 9.155 144.63 117.76 73.67
Atoms (fractional coordinates):
Li: 0.201 0.201 0.000
Li: 0.799 0.799 0.000
Ca: 0.070 0.346 0.724
Ca: 0.182 0.000 0.182
Ca: 0.371 0.871 0.500
Ca: 0.377 0.654 0.724
Ca: 0.623 0.346 0.276
Ca: 0.629 0.129 0.500
Ca: 0.818 0.000 0.818
Ca: 0.930 0.654 0.276
Zn: 0.500 0.500 0.000

=====

(5)
This record from the Alexandria database describes a geometry-optimized Li12CaZn6 structure. The functional is PBE-GGA.

Lattice parameters (Å, degrees): 7.321 7.321 7.321 102.61 102.61 102.61
Atoms (fractional coordinates):
Li: 0.000 0.389 0.611
Li: 0.000 0.611 0.389
Li: 0.077 0.077 0.353
Li: 0.077 0.353 0.077
Li: 0.353 0.077 0.077
Li: 0.389 0.000 0.611
Li: 0.389 0.611 0.000
Li: 0.611 0.000 0.389
Li: 0.611 0.389 0.000
Li: 0.647 0.923 0.923
Li: 0.923 0.647 0.923
Li: 0.923 0.923 0.647
Ca: 0.500 0.500 0.500
Zn: 0.215 0.763 0.763
Zn: 0.237 0.237 0.785
Zn: 0.237 0.785 0.237
Zn: 0.763 0.215 0.763
Zn: 0.763 0.763 0.215
Zn: 0.785 0.237 0.237

=====

(6)
This record from the Alexandria database describes a geometry-optimized Li4Ca3Zn2 structure. The functional is PBE-GGA.

Lattice parameters (Å, degrees): 6.016 6.016 8.904 110.37 110.37 48.21
Atoms (fractional coordinates):
Li: 0.098 0.098 0.163
Li: 0.299 0.299 0.464
Li: 0.701 0.701 0.536
Li: 0.902 0.902 0.837
Ca: 0.000 0.000 0.500
Ca: 0.386 0.386 0.136
Ca: 0.614 0.614 0.864
Zn: 0.283 0.283 0.756
Zn: 0.717 0.717 0.244

=====

(7)
This record from the Alexandria database describes a geometry-optimized Li3CaZn structure. The functional is PBE-GGA.

Lattice parameters (Å, degrees): 4.940 4.940 4.940 90.00 90.00 90.00
Atoms (fractional coordinates):
Li: 0.000 0.000 0.500
Li: 0.000 0.500 0.000
Li: 0.500 0.000 0.000
Ca: 0.500 0.500 0.500
Zn: 0.000 0.000 0.000

=====

(8)
This record from the Alexandria database describes a geometry-optimized Li2Ca2Zn structure. The functional is PBE-GGA.

Lattice parameters (Å, degrees): 7.274 7.274 5.014 90.00 90.00 90.00
Atoms (fractional coordinates):
Li: 0.133 0.367 0.000
Li: 0.367 0.867 0.000
Li: 0.633 0.133 0.000
Li: 0.867 0.633 0.000
Ca: 0.184 0.684 0.500
Ca: 0.316 0.184 0.500
Ca: 0.684 0.816 0.500
Ca: 0.816 0.316 0.500
Zn: 0.000 0.000 0.000
Zn: 0.500 0.500 0.000

=====

(9)
This record from the Alexandria database describes a geometry-optimized Li7CaZn4 structure. The functional is PBE-GGA.

Lattice parameters (Å, degrees): 6.776 6.776 9.026 123.71 123.71 42.86
Atoms (fractional coordinates):
Li: 0.000 0.000 0.000
Li: 0.184 0.184 0.632
Li: 0.275 0.275 0.121
Li: 0.442 0.442 0.596
Li: 0.558 0.558 0.404
Li: 0.725 0.725 0.879
Li: 0.816 0.816 0.368
Ca: 0.500 0.500 0.000
Zn: 0.052 0.052 0.767
Zn: 0.188 0.188 0.343
Zn: 0.812 0.812 0.657
Zn: 0.948 0.948 0.233

=====

(10)
This record from the Alexandria database describes a geometry-optimized LiCa5Zn structure. The functional is PBE-GGA.

Lattice parameters (Å, degrees): 7.161 7.161 12.093 106.63 106.63 61.59
Atoms (fractional coordinates):
Li: 0.051 0.949 0.750
Li: 0.949 0.051 0.250
Ca: 0.028 0.718 0.464
Ca: 0.108 0.448 0.860
Ca: 0.282 0.972 0.036
Ca: 0.448 0.108 0.360
Ca: 0.456 0.544 0.250
Ca: 0.544 0.456 0.750
Ca: 0.552 0.892 0.640
Ca: 0.718 0.028 0.964
Ca: 0.892 0.552 0.140
Ca: 0.972 0.282 0.536
Zn: 0.500 0.500 0.000
Zn: 0.500 0.500 0.500

=====

(11)
This record from the Alexandria database describes a geometry-optimized Li2CaZn6 structure. The functional is PBE-GGA.

Lattice parameters (Å, degrees): 7.760 7.760 3.141 90.00 90.00 120.00
Atoms (fractional coordinates):
Li: 0.333 0.667 0.000
Li: 0.667 0.333 0.000
Ca: 0.000 0.000 0.000
Zn: 0.000 0.341 0.500
Zn: 0.000 0.659 0.500
Zn: 0.341 0.000 0.500
Zn: 0.341 0.341 0.500
Zn: 0.659 0.000 0.500
Zn: 0.659 0.659 0.500

=====

(12)
This record from the Alexandria database describes a geometry-optimized LiCa5Zn4 structure. The functional is PBE-GGA.

Lattice parameters (Å, degrees): 3.674 3.674 19.271 90.00 90.00 90.00
Atoms (fractional coordinates):
Li: 0.000 0.000 0.000
Ca: 0.500 0.500 0.117
Ca: 0.500 0.500 0.307
Ca: 0.500 0.500 0.500
Ca: 0.500 0.500 0.693
Ca: 0.500 0.500 0.883
Zn: 0.000 0.000 0.209
Zn: 0.000 0.000 0.404
Zn: 0.000 0.000 0.596
Zn: 0.000 0.000 0.791

=====

(13)
This record from the Alexandria database describes a geometry-optimized LiCaZn2 structure. The functional is PBE-GGA.

Lattice parameters (Å, degrees): 4.427 4.427 5.762 112.84 112.84 60.01
Atoms (fractional coordinates):
Li: 0.000 0.000 0.000
Ca: 0.500 0.500 0.500
Zn: 0.302 0.302 0.905
Zn: 0.698 0.698 0.095

=====

(14)
This record from the Alexandria database describes a geometry-optimized Li2Ca3Zn2 structure. The functional is PBE-GGA.

Lattice parameters (Å, degrees): 10.502 10.502 10.502 158.05 154.07 34.23
Atoms (fractional coordinates):
Li: 0.133 0.133 0.000
Li: 0.867 0.867 0.000
Ca: 0.000 0.500 0.500
Ca: 0.313 0.313 0.000
Ca: 0.687 0.687 0.000
Zn: 0.436 0.936 0.500
Zn: 0.564 0.064 0.500

=====

(15)
This record from the Alexandria database describes a geometry-optimized Li2Ca3Zn9 structure. The functional is PBE-GGA.

Lattice parameters (Å, degrees): 8.398 8.398 8.398 149.03 115.57 73.20
Atoms (fractional coordinates):
Li: 0.187 0.000 0.187
Li: 0.813 0.000 0.813
Ca: 0.209 0.209 0.000
Ca: 0.500 0.500 0.000
Ca: 0.791 0.791 0.000
Zn: 0.000 0.500 0.500
Zn: 0.081 0.368 0.713
Zn: 0.190 0.836 0.354
Zn: 0.345 0.632 0.713
Zn: 0.481 0.836 0.646
Zn: 0.519 0.164 0.354
Zn: 0.655 0.368 0.287
Zn: 0.810 0.164 0.646
Zn: 0.919 0.632 0.287

=====

(16)
This record from the Alexandria database describes a geometry-optimized Li6CaZn structure. The functional is PBE-GGA.

Lattice parameters (Å, degrees): 4.462 4.462 9.438 90.00 90.00 90.00
Atoms (fractional coordinates):
Li: 0.000 0.000 0.145
Li: 0.000 0.000 0.855
Li: 0.000 0.500 0.340
Li: 0.000 0.500 0.660
Li: 0.500 0.000 0.340
Li: 0.500 0.000 0.660
Ca: 0.500 0.500 0.000
Zn: 0.500 0.500 0.500

=====

(17)
This record from the Alexandria database describes a geometry-optimized Li2Ca8Zn structure. The functional is PBE-GGA.

Lattice parameters (Å, degrees): 9.926 9.926 7.503 107.74 107.74 33.23
Atoms (fractional coordinates):
Li: 0.181 0.181 0.209
Li: 0.819 0.819 0.791
Ca: 0.022 0.022 0.287
Ca: 0.199 0.199 0.796
Ca: 0.344 0.344 0.538
Ca: 0.408 0.408 0.068
Ca: 0.592 0.592 0.932
Ca: 0.656 0.656 0.462
Ca: 0.801 0.801 0.204
Ca: 0.978 0.978 0.713
Zn: 0.500 0.500 0.500

=====

(18)
This record from the Alexandria database describes a geometry-optimized LiCaZn2 structure. The functional is PBE-GGA.

Lattice parameters (Å, degrees): 5.193 5.193 5.193 128.74 128.74 75.43
Atoms (fractional coordinates):
Li: 0.000 0.000 0.000
Ca: 0.500 0.500 0.000
Zn: 0.250 0.750 0.500
Zn: 0.750 0.250 0.500

=====

(19)
This record from the Alexandria database describes a geometry-optimized Li2Ca2Zn structure. The functional is PBE-GGA.

Lattice parameters (Å, degrees): 9.730 9.730 9.730 157.60 157.60 31.88
Atoms (fractional coordinates):
Li: 0.250 0.750 0.500
Li: 0.750 0.250 0.500
Ca: 0.095 0.095 0.000
Ca: 0.905 0.905 0.000
Zn: 0.500 0.500 0.000

=====

(20)
This record from the Alexandria database describes a geometry-optimized LiCa8Zn2 structure. The functional is PBE-GGA.

Lattice parameters (Å, degrees): 9.370 9.370 10.459 105.13 105.13 25.81
Atoms (fractional coordinates):
Li: 0.000 0.000 0.000
Ca: 0.161 0.161 0.514
Ca: 0.172 0.172 0.916
Ca: 0.354 0.354 0.800
Ca: 0.469 0.469 0.313
Ca: 0.531 0.531 0.687
Ca: 0.646 0.646 0.200
Ca: 0.828 0.828 0.084
Ca: 0.839 0.839 0.486
Zn: 0.278 0.278 0.260
Zn: 0.722 0.722 0.740

=====

Number 1: formation enthalpy at 0 K -0.030 eV per atom. Number 2: formation enthalpy at 0 K 0.179 eV per atom. Number 3: formation enthalpy at 0 K -0.137 eV per atom. Number 4: formation enthalpy at 0 K 0.049 eV per atom. Number 5: formation enthalpy at 0 K -0.027 eV per atom. Number 6: formation enthalpy at 0 K -0.082 eV per atom. Number 7: formation enthalpy at 0 K 0.040 eV per atom. Number 8: formation enthalpy at 0 K 0.002 eV per atom. Number 9: formation enthalpy at 0 K -0.011 eV per atom. Number 10: formation enthalpy at 0 K 0.042 eV per atom. Number 11: formation enthalpy at 0 K -0.136 eV per atom. Number 12: formation enthalpy at 0 K -0.192 eV per atom. Number 13: formation enthalpy at 0 K -0.174 eV per atom. Number 14: formation enthalpy at 0 K -0.105 eV per atom. Number 15: formation enthalpy at 0 K -0.244 eV per atom. Number 16: formation enthalpy at 0 K 0.074 eV per atom. Number 17: formation enthalpy at 0 K -0.006 eV per atom. Number 18: formation enthalpy at 0 K -0.127 eV per atom. Number 19: formation enthalpy at 0 K -0.024 eV per atom. Number 20: formation enthalpy at 0 K -0.052 eV per atom.